Entry 1:
# CeNd2Sc, optimized geometry, DFT PBE-GGA
# - Formation energy: 0.09 eV/atom
# - Energy above the most stable polymorph in this dataset: 2 meV per atom
data_CeNd2Sc
_cell_length_a 3.529
_cell_length_b 3.529
_cell_length_c 9.936
_cell_angle_alpha 90.00
_cell_angle_beta 90.00
_cell_angle_gamma 90.00
_symmetry_space_group_name_H-M 'P 4/m m m'
_symmetry_Int_Tables_number 123
_symmetry_space_group_name_Hall '-P 4 2'
loop_
_atom_site_label
_atom_site_type_symbol
_atom_site_fract_x
_atom_site_fract_y
_atom_site_fract_z
Ce1 Ce 0.000 0.000 0.000
Nd1 Nd 0.500 0.500 0.257
Sc1 Sc 0.000 0.000 0.500

Entry 2:
# Ce2NdSc, optimized geometry, DFT PBE-GGA
# - Formation energy: 0.11 eV/atom
# - Energy above the most stable polymorph in this dataset: 0 meV per atom
data_Ce2NdSc
_cell_length_a 3.4234
_cell_length_b 3.4234
_cell_length_c 34.2531
_cell_angle_alpha 90.00
_cell_angle_beta 90.00
_cell_angle_gamma 120.00
_symmetry_space_group_name_H-M 'R 3 m'
_symmetry_Int_Tables_number 160
_symmetry_space_group_name_Hall 'R 3 -2"'
loop_
_atom_site_label
_atom_site_type_symbol
_atom_site_fract_x
_atom_site_fract_y
_atom_site_fract_z
Ce1 Ce 0.0000 0.0000 0.0000
Ce2 Ce 0.0000 0.0000 0.1573
Nd1 Nd 0.0000 0.0000 0.5808
Sc1 Sc 0.0000 0.0000 0.4115

Entry 3:
# CeNd2Sc, optimized geometry, DFT PBE-GGA
# - Formation energy: 0.09 eV/atom
# - Energy above the most stable polymorph in this dataset: 0 meV per atom
data_CeNd2Sc
_cell_length_a 5.015
_cell_length_b 5.015
_cell_length_c 4.918
_cell_angle_alpha 90.00
_cell_angle_beta 90.00
_cell_angle_gamma 90.00
_symmetry_space_group_name_H-M 'P 4/m m m'
_symmetry_Int_Tables_number 123
_symmetry_space_group_name_Hall '-P 4 2'
loop_
_atom_site_label
_atom_site_type_symbol
_atom_site_fract_x
_atom_site_fract_y
_atom_site_fract_z
Ce1 Ce 0.000 0.000 0.000
Nd1 Nd 0.000 0.500 0.500
Sc1 Sc 0.500 0.500 0.000

Entry 4:
# CeNd2Sc, optimized geometry, DFT PBE-GGA
# - Formation energy: 0.09 eV/atom
# - Energy above the most stable polymorph in this dataset: 4 meV per atom
data_CeNd2Sc
_cell_length_a 3.5233
_cell_length_b 3.5233
_cell_length_c 34.2556
_cell_angle_alpha 90.00
_cell_angle_beta 90.00
_cell_angle_gamma 120.00
_symmetry_space_group_name_H-M 'R -3 m'
_symmetry_Int_Tables_number 166
_symmetry_space_group_name_Hall '-R 3 2"'
loop_
_atom_site_label
_atom_site_type_symbol
_atom_site_fract_x
_atom_site_fract_y
_atom_site_fract_z
Ce1 Ce 0.0000 0.0000 0.0000
Nd1 Nd 0.0000 0.0000 0.2479
Sc1 Sc 0.0000 0.0000 0.5000

Entry 5:
# Ce2NdSc, optimized geometry, DFT PBE-GGA
# - Formation energy: 0.11 eV/atom
# - Energy above the most stable polymorph in this dataset: 7 meV per atom
data_Ce2NdSc
_cell_length_a 4.792
_cell_length_b 4.792
_cell_length_c 5.078
_cell_angle_alpha 90.00
_cell_angle_beta 90.00
_cell_angle_gamma 90.00
_symmetry_space_group_name_H-M 'P 4/m m m'
_symmetry_Int_Tables_number 123
_symmetry_space_group_name_Hall '-P 4 2'
loop_
_atom_site_label
_atom_site_type_symbol
_atom_site_fract_x
_atom_site_fract_y
_atom_site_fract_z
Ce1 Ce 0.000 0.500 0.000
Nd1 Nd 0.000 0.000 0.500
Sc1 Sc 0.500 0.500 0.500

Entry 6:
# CeNd2Sc, optimized geometry, DFT PBE-GGA
# - Formation energy: 0.09 eV/atom
# - Energy above the most stable polymorph in this dataset: 2 meV per atom
data_CeNd2Sc
_cell_length_a 3.5280
_cell_length_b 3.5280
_cell_length_c 34.1929
_cell_angle_alpha 90.00
_cell_angle_beta 90.00
_cell_angle_gamma 120.00
_symmetry_space_group_name_H-M 'R 3 m'
_symmetry_Int_Tables_number 160
_symmetry_space_group_name_Hall 'R 3 -2"'
loop_
_atom_site_label
_atom_site_type_symbol
_atom_site_fract_x
_atom_site_fract_y
_atom_site_fract_z
Ce1 Ce 0.0000 0.0000 0.0000
Nd1 Nd 0.0000 0.0000 0.4183
Nd2 Nd 0.0000 0.0000 0.5810
Sc1 Sc 0.0000 0.0000 0.8330

Entry 7:
# Ce3Nd3ScSe8, optimized geometry, DFT PBE-GGA
# - Uncorrected formation energy: -1.868 eV/atom
data_Ce3Nd3ScSe8
_cell_length_a 14.525
_cell_length_b 8.409
_cell_length_c 8.392
_cell_angle_alpha 90.00
_cell_angle_beta 125.12
_cell_angle_gamma 90.00
_symmetry_space_group_name_H-M 'C 1 2/m 1'
_symmetry_Int_Tables_number 12
_symmetry_space_group_name_Hall '-C 2y'
loop_
_atom_site_label
_atom_site_type_symbol
_atom_site_fract_x
_atom_site_fract_y
_atom_site_fract_z
Ce1 Ce 0.000 0.000 0.000
Ce2 Ce 0.250 0.250 0.500
Nd1 Nd 0.000 0.500 0.500
Nd2 Nd 0.250 0.250 0.000
Sc1 Sc 0.000 0.500 0.000
Se1 Se 0.000 0.262 0.237
Se2 Se 0.237 0.500 0.238
Se3 Se 0.249 0.000 0.249

Entry 8:
# CeNd2ScSe4, optimized geometry, DFT PBE-GGA
# - Uncorrected formation energy: -1.751 eV/atom
data_CeNd2ScSe4
_cell_length_a 7.182
_cell_length_b 4.107
_cell_length_c 7.201
_cell_angle_alpha 90.00
_cell_angle_beta 108.99
_cell_angle_gamma 90.00
_symmetry_space_group_name_H-M 'P 1 2/m 1'
_symmetry_Int_Tables_number 10
_symmetry_space_group_name_Hall '-P 2y'
loop_
_atom_site_label
_atom_site_type_symbol
_atom_site_fract_x
_atom_site_fract_y
_atom_site_fract_z
Ce1 Ce 0.000 0.000 0.000
Nd1 Nd 0.000 0.500 0.500
Nd2 Nd 0.500 0.000 0.500
Sc1 Sc 0.500 0.500 0.000
Se1 Se 0.258 0.500 0.238
Se2 Se 0.268 0.000 0.770